#w
The following is a DFT calculation (PBE) of a geometry-optimized LaRe2Br structure.

Lattice parameters (Å, degrees): 3.106 3.106 8.067 90.00 90.00 90.00
Space group P4/mmm (No. 123)
Symmetry-distinct sites (fractional):
La1 0.000 0.000 0.000 (multiplicity 1)
Re1 0.500 0.500 0.300 (multiplicity 2)
Br1 0.000 0.000 0.500 (multiplicity 1)

Results
Density, Mg/m³: 12.6
DOS at the Fermi energy, states/eV/atom: 1.456
Calculated volume, Å³/atom: 19.46

***

#x
The following is a DFT calculation (PBE) of a geometry-optimized LaRe2Br structure.

Lattice parameters (Å, degrees): 3.369 4.353 5.717 90.00 90.00 90.00
Space group Pmmm (No. 47)
Symmetry-distinct sites (fractional):
La1 0.000 0.000 0.000 (multiplicity 1)
Re1 0.000 0.500 0.500 (multiplicity 1)
Re2 0.500 0.000 0.500 (multiplicity 1)
Br1 0.500 0.500 0.000 (multiplicity 1)

Results
Density, Mg/m³: 11.7
DOS at the Fermi energy, states/eV/atom: 0.912
Calculated volume, Å³/atom: 20.96

***

#y
The following is a DFT calculation (PBE) of a geometry-optimized LaRe2Br structure.

Lattice parameters (Å, degrees): 4.789 4.789 6.940 90.00 90.00 90.00
Space group I-4m2 (No. 119)
Symmetry-distinct sites (fractional):
La1 0.000 0.000 0.000 (multiplicity 2)
Re1 0.000 0.000 0.500 (multiplicity 2)
Re2 0.000 0.500 0.750 (multiplicity 2)
Br1 0.000 0.500 0.250 (multiplicity 2)

Results
Density, Mg/m³: 12.3
DOS at the Fermi energy, states/eV/atom: 1.334
Calculated volume, Å³/atom: 19.90

***

Of them, the most stable is #x and the least stable is #w.

***

#w
The following is a DFT calculation (PBE) of a geometry-optimized LaRe2Br structure.

Lattice parameters (Å, degrees): 3.198 5.033 6.102 90.00 90.00 90.00
Space group Pmmm (No. 47)
Symmetry-distinct sites (fractional):
La1 0.000 0.000 0.000 (multiplicity 1)
Re1 0.500 0.500 0.180 (multiplicity 2)
Br1 0.000 0.000 0.500 (multiplicity 1)

Results
Density, Mg/m³: 10.0
DOS at the Fermi energy, states/eV/atom: 0.727
Calculated volume, Å³/atom: 24.55

***

#x
The following is a DFT calculation (PBE) of a geometry-optimized LaRe2Br structure.

Lattice parameters (Å, degrees): 11.568 3.585 4.811 90.00 97.67 90.00
Space group C2/m (No. 12)
Symmetry-distinct sites (fractional):
La1 0.000 0.000 0.000 (multiplicity 2)
Re1 0.225 0.500 0.844 (multiplicity 4)
Br1 0.000 0.500 0.500 (multiplicity 2)

Results
Density, Mg/m³: 9.9
DOS at the Fermi energy, states/eV/atom: 0.353
Calculated volume, Å³/atom: 24.72

***

Of them, the most stable is #x and the least stable is #w.